# 1
DFT (PBE) results for a relaxed ScZnTc crystal. Values from VASP.

```
&SYSTEM
  ibrav = 0, nat = 3, ntyp = 3
/
ATOMIC_SPECIES
Sc 44.96 Sc.upf
Zn 65.41 Zn.upf
Tc 98.00 Tc.upf
CELL_PARAMETERS angstrom
0.0000 3.0994 3.0994
3.0994 0.0000 3.0994
3.0994 3.0994 0.0000
ATOMIC_POSITIONS crystal
Sc 0.0000 0.0000 0.0000
Zn 0.2500 0.2500 0.2500
Tc 0.7500 0.7500 0.7500
```

## Properties
Excess energy over the best structure of this formula in the dataset (meV/atom): 1154
Symmetry: No. 216
Total magnetic moment (μB per formula unit): 0.9
Formation energy from the elements (meV per atom): 837

=====

# 2
DFT (PBE) results for a relaxed Cu4NiPd3 crystal. Values from VASP.

```
&SYSTEM
  ibrav = 0, nat = 8, ntyp = 3
/
ATOMIC_SPECIES
Cu 63.55 Cu.upf
Ni 58.69 Ni.upf
Pd 106.42 Pd.upf
CELL_PARAMETERS angstrom
-1.4078 2.1533 8.7272
1.4078 -2.1533 8.7272
1.4078 2.1533 -8.7272
ATOMIC_POSITIONS crystal
Cu 0.1152 0.1152 0.0000
Cu 0.2356 0.7356 0.5000
Cu 0.7644 0.2644 0.5000
Cu 0.8848 0.8848 0.0000
Ni 0.0000 0.5000 0.5000
Pd 0.3620 0.3620 0.0000
Pd 0.5000 0.0000 0.5000
Pd 0.6380 0.6380 0.0000
```

## Properties
Excess energy over the best structure of this formula in the dataset (meV/atom): 38
Symmetry: No. 71
Total magnetic moment (μB per formula unit): 0.5
Formation energy from the elements (meV per atom): -26

=====

# 3
DFT (PBE) results for a relaxed ErMn2Si2C crystal. Values from VASP.

```
&SYSTEM
  ibrav = 0, nat = 6, ntyp = 4
/
ATOMIC_SPECIES
Er 167.26 Er.upf
Mn 54.94 Mn.upf
Si 28.09 Si.upf
C 12.01 C.upf
CELL_PARAMETERS angstrom
3.8775 0.0000 0.0000
0.0000 3.8775 0.0000
0.0000 0.0000 5.1674
ATOMIC_POSITIONS crystal
Er 0.0000 0.0000 0.0000
Mn 0.0000 0.5000 0.5000
Mn 0.5000 0.0000 0.5000
Si 0.5000 0.5000 0.2288
Si 0.5000 0.5000 0.7712
C 0.0000 0.0000 0.5000
```

## Properties
Symmetry: No. 123
Total magnetic moment (μB per formula unit): 0.4
E_form (uncorrected) (eV per atom): -0.49

=====

# 4
DFT (PBE) results for a relaxed Mo2Rh2N crystal. Values from VASP.

```
&SYSTEM
  ibrav = 0, nat = 10, ntyp = 3
/
ATOMIC_SPECIES
Mo 95.94 Mo.upf
Rh 102.91 Rh.upf
N 14.01 N.upf
CELL_PARAMETERS angstrom
7.4778 0.0000 0.0000
0.0000 7.4778 0.0000
0.0000 0.0000 2.7499
ATOMIC_POSITIONS crystal
Mo 0.1684 0.3316 0.0000
Mo 0.3316 0.8316 0.0000
Mo 0.6684 0.1684 0.0000
Mo 0.8316 0.6684 0.0000
Rh 0.1277 0.6277 0.5000
Rh 0.3723 0.1277 0.5000
Rh 0.6277 0.8723 0.5000
Rh 0.8723 0.3723 0.5000
N 0.0000 0.0000 0.5000
N 0.5000 0.5000 0.5000
```

## Properties
Excess energy over the best structure of this formula in the dataset (meV/atom): 0
Symmetry: No. 127
Total magnetic moment (μB per formula unit): 0.0
E_form (uncorrected) (eV per atom): 1.13

=====

Q: What is the total magnetic moment in the third record?
A: 0.4 μB per formula unit

=====

Q: Among the records above, which one has the highest total magnetic moment?
A: ScZnTc

=====

Q: What is the formula in the fourth record?
A: Mo2Rh2N

=====

Q: Which value of total magnetic moment does entry 1 give?
A: 0.9 μB per formula unit